Record 1
DFT (PBE) results for a geometry-optimized Pr2DyGa6 structure.

a = 7.3884 Å, b = 7.3884 Å, c = 4.2792 Å
α = 90.00°, β = 90.00°, γ = 120.00°
Atoms (fractional coordinates):
Pr 0.3333 0.6667 0.0000
Pr 0.6667 0.3333 0.0000
Dy 0.0000 0.0000 0.0000
Ga 0.0000 0.3317 0.5000
Ga 0.0000 0.6683 0.5000
Ga 0.3317 0.0000 0.5000
Ga 0.3317 0.3317 0.5000
Ga 0.6683 0.0000 0.5000
Ga 0.6683 0.6683 0.5000

Energy above the most stable polymorph in this dataset ... 0.000 eV/atom
Symmetry ... P6/mmm
Formation energy ... -666.3 meV/atom
E_tot ... -4.26 eV per atom

---

Record 2
DFT (PBE) results for a geometry-optimized Pr2Dy3Ga4 structure.

a = 8.7403 Å, b = 8.7403 Å, c = 8.5747 Å
α = 90.00°, β = 90.00°, γ = 133.34°
Atoms (fractional coordinates):
Pr 0.1063 0.8937 0.9206
Pr 0.3937 0.6063 0.4206
Pr 0.6063 0.3937 0.5794
Pr 0.8937 0.1063 0.0794
Dy 0.0000 0.0000 0.5000
Dy 0.0326 0.4674 0.7500
Dy 0.4674 0.0326 0.2500
Dy 0.5000 0.5000 0.0000
Dy 0.5326 0.9674 0.7500
Dy 0.9674 0.5326 0.2500
Ga 0.1839 0.8161 0.5410
Ga 0.2141 0.2859 0.7500
Ga 0.2859 0.2141 0.2500
Ga 0.3161 0.6839 0.0410
Ga 0.6839 0.3161 0.9590
Ga 0.7141 0.7859 0.7500
Ga 0.7859 0.7141 0.2500
Ga 0.8161 0.1839 0.4590

Energy above the most stable polymorph in this dataset ... 0.145 eV/atom
Symmetry ... Cmce
Formation energy ... -426.9 meV/atom
E_tot ... -4.37 eV per atom

---

Record 3
DFT (PBE) results for a geometry-optimized Pr4Dy3Ga4 structure.

a = 10.5050 Å, b = 10.5050 Å, c = 10.5050 Å
α = 160.46°, β = 128.42°, γ = 55.68°
Atoms (fractional coordinates):
Pr 0.0091 0.8340 0.1751
Pr 0.3411 0.1660 0.1751
Pr 0.6589 0.8340 0.8249
Pr 0.9909 0.1660 0.8249
Dy 0.0000 0.5000 0.5000
Dy 0.4077 0.4077 0.0000
Dy 0.5923 0.5923 0.0000
Ga 0.2769 0.0000 0.2769
Ga 0.2793 0.7793 0.5000
Ga 0.7207 0.2207 0.5000
Ga 0.7231 0.0000 0.7231

Symmetry ... Immm
Formation energy ... -405.5 meV/atom
E_tot ... -4.50 eV per atom

---

Record 4
DFT (PBE) results for a geometry-optimized Pr5DyGa6 structure.

a = 9.0676 Å, b = 9.0676 Å, c = 9.0676 Å
α = 146.44°, β = 131.95°, γ = 59.88°
Atoms (fractional coordinates):
Pr 0.0000 0.0000 0.0000
Pr 0.1633 0.6633 0.5000
Pr 0.3272 0.3272 0.0000
Pr 0.6728 0.6728 0.0000
Pr 0.8367 0.3367 0.5000
Dy 0.5000 0.0000 0.5000
Ga 0.0964 0.8374 0.2591
Ga 0.2671 0.5000 0.7671
Ga 0.4217 0.1626 0.2591
Ga 0.5783 0.8374 0.7409
Ga 0.7329 0.5000 0.2329
Ga 0.9036 0.1626 0.7409

Symmetry ... Immm
Formation energy ... -547.0 meV/atom
E_tot ... -4.44 eV per atom

---

Record 5
DFT (PBE) results for a geometry-optimized Pr2DyGa2 structure.

a = 5.9858 Å, b = 5.9858 Å, c = 5.9858 Å
α = 133.74°, β = 112.60°, γ = 85.66°
Atoms (fractional coordinates):
Pr 0.1999 0.1999 0.0000
Pr 0.8001 0.8001 0.0000
Dy 0.5000 0.0000 0.5000
Ga 0.2031 0.5000 0.7031
Ga 0.7969 0.5000 0.2969

Energy above the most stable polymorph in this dataset ... 0.000 eV/atom
Symmetry ... Immm
Formation energy ... -474.6 meV/atom
E_tot ... -4.52 eV per atom

---

Record 6
DFT (PBE) results for a geometry-optimized Pr2Dy3Ga4 structure.

a = 8.0238 Å, b = 8.0479 Å, c = 7.6292 Å
α = 90.00°, β = 106.71°, γ = 90.00°
Atoms (fractional coordinates):
Pr 0.1910 0.1805 0.0745
Pr 0.1910 0.3195 0.5745
Pr 0.8090 0.6805 0.4255
Pr 0.8090 0.8195 0.9255
Dy 0.2409 0.6749 0.2512
Dy 0.2409 0.8251 0.7512
Dy 0.5000 0.0000 0.5000
Dy 0.5000 0.5000 0.0000
Dy 0.7591 0.1749 0.2488
Dy 0.7591 0.3251 0.7488
Ga 0.0803 0.5314 0.8690
Ga 0.0803 0.9686 0.3690
Ga 0.4950 0.1191 0.8784
Ga 0.4950 0.3809 0.3784
Ga 0.5050 0.6191 0.6216
Ga 0.5050 0.8809 0.1216
Ga 0.9197 0.0314 0.6310
Ga 0.9197 0.4686 0.1310

Energy above the most stable polymorph in this dataset ... 0.000 eV/atom
Symmetry ... P2_1/c
Formation energy ... -571.5 meV/atom
E_tot ... -4.51 eV per atom

---

Record 7
DFT (PBE) results for a geometry-optimized Pr2Dy3Ga2 structure.

a = 6.4388 Å, b = 6.4388 Å, c = 8.6264 Å
α = 112.06°, β = 112.06°, γ = 38.48°
Atoms (fractional coordinates):
Pr 0.1500 0.1500 0.3088
Pr 0.8500 0.8500 0.6912
Dy 0.3761 0.3761 0.0589
Dy 0.5000 0.5000 0.5000
Dy 0.6239 0.6239 0.9411
Ga 0.1665 0.1665 0.7155
Ga 0.8335 0.8335 0.2845

Symmetry ... C2/m
Formation energy ... -305.7 meV/atom
E_tot ... -4.51 eV per atom

---

Record 8
DFT (PBE) results for a geometry-optimized PrDy2Ga4 structure.

a = 9.6479 Å, b = 9.6479 Å, c = 9.6479 Å
α = 155.02°, β = 153.99°, γ = 36.38°
Atoms (fractional coordinates):
Pr 0.0000 0.0000 0.0000
Dy 0.1847 0.6847 0.5000
Dy 0.8153 0.3153 0.5000
Ga 0.3519 0.8519 0.5000
Ga 0.4320 0.4320 0.0000
Ga 0.5680 0.5680 0.0000
Ga 0.6481 0.1481 0.5000

Symmetry ... Immm
Formation energy ... -653.4 meV/atom
E_tot ... -4.38 eV per atom

---

Record 9
DFT (PBE) results for a geometry-optimized Pr2DyGa structure.

a = 4.8330 Å, b = 4.8330 Å, c = 4.8773 Å
α = 90.00°, β = 90.00°, γ = 90.00°
Atoms (fractional coordinates):
Pr 0.0000 0.5000 0.0000
Pr 0.5000 0.0000 0.0000
Dy 0.0000 0.0000 0.5000
Ga 0.5000 0.5000 0.5000

Energy above the most stable polymorph in this dataset ... 0.028 eV/atom
Symmetry ... P4/mmm
Formation energy ... -224.5 meV/atom
E_tot ... -4.52 eV per atom

---

Record 10
DFT (PBE) results for a geometry-optimized Pr2DyGa6 structure.

a = 8.0472 Å, b = 8.0472 Å, c = 8.0472 Å
α = 148.25°, β = 127.21°, γ = 62.93°
Atoms (fractional coordinates):
Pr 0.1320 0.1320 0.0000
Pr 0.8680 0.8680 0.0000
Dy 0.5000 0.0000 0.5000
Ga 0.1411 0.3256 0.8154
Ga 0.1912 0.5000 0.6912
Ga 0.4898 0.6744 0.8154
Ga 0.5102 0.3256 0.1846
Ga 0.8088 0.5000 0.3088
Ga 0.8589 0.6744 0.1846

Energy above the most stable polymorph in this dataset ... 0.250 eV/atom
Symmetry ... Immm
Formation energy ... -416.7 meV/atom
E_tot ... -4.01 eV per atom

---

Record 11
DFT (PBE) results for a geometry-optimized PrDyGa2 structure.

a = 9.0765 Å, b = 9.0765 Å, c = 9.0765 Å
α = 23.83°, β = 23.83°, γ = 23.83°
Atoms (fractional coordinates):
Pr 0.0000 0.0000 0.0000
Dy 0.5000 0.5000 0.5000
Ga 0.2469 0.2469 0.2469
Ga 0.7531 0.7531 0.7531

Symmetry ... R-3m
Formation energy ... -381.1 meV/atom
E_tot ... -4.24 eV per atom

---

Record 12
DFT (PBE) results for a geometry-optimized Pr3DyGa4 structure.

a = 3.6848 Å, b = 3.6848 Å, c = 14.7851 Å
α = 90.00°, β = 90.00°, γ = 90.00°
Atoms (fractional coordinates):
Pr 0.0000 0.0000 0.0000
Pr 0.0000 0.0000 0.2561
Pr 0.0000 0.0000 0.7439
Dy 0.0000 0.0000 0.5000
Ga 0.5000 0.5000 0.1281
Ga 0.5000 0.5000 0.3876
Ga 0.5000 0.5000 0.6124
Ga 0.5000 0.5000 0.8719

Energy above the most stable polymorph in this dataset ... 0.000 eV/atom
Symmetry ... P4/mmm
Formation energy ... -558.2 meV/atom
E_tot ... -4.44 eV per atom

---

Record 13
DFT (PBE) results for a geometry-optimized PrDy2Ga3 structure.

a = 6.1337 Å, b = 6.1337 Å, c = 4.8100 Å
α = 90.00°, β = 90.00°, γ = 120.38°
Atoms (fractional coordinates):
Pr 0.0000 0.0000 0.0000
Dy 0.3340 0.6660 0.0000
Dy 0.6660 0.3340 0.0000
Ga 0.0000 0.5000 0.5000
Ga 0.5000 0.0000 0.5000
Ga 0.5000 0.5000 0.5000

Symmetry ... Cmmm
Formation energy ... -329.5 meV/atom
E_tot ... -4.17 eV per atom

---

Record 14
DFT (PBE) results for a geometry-optimized PrDy3Ga2 structure.

a = 4.9827 Å, b = 9.6161 Å, c = 6.6446 Å
α = 90.00°, β = 90.00°, γ = 90.00°
Atoms (fractional coordinates):
Pr 0.0000 0.0499 0.0000
Pr 0.0000 0.9501 0.5000
Dy 0.0000 0.3263 0.6274
Dy 0.0000 0.6737 0.1274
Dy 0.5000 0.1866 0.2891
Dy 0.5000 0.4459 0.9226
Dy 0.5000 0.5541 0.4226
Dy 0.5000 0.8134 0.7891
Ga 0.0000 0.3631 0.1692
Ga 0.0000 0.6369 0.6692
Ga 0.5000 0.1438 0.7448
Ga 0.5000 0.8562 0.2448

Energy above the most stable polymorph in this dataset ... 0.000 eV/atom
Symmetry ... Pmc2_1
Formation energy ... -408.8 meV/atom
E_tot ... -4.52 eV per atom

---

Record 15
DFT (PBE) results for a geometry-optimized Pr4DyGa4 structure.

a = 7.7390 Å, b = 7.7390 Å, c = 7.7390 Å
α = 95.54°, β = 95.54°, γ = 143.81°
Atoms (fractional coordinates):
Pr 0.1341 0.6472 0.7813
Pr 0.3528 0.1341 0.4869
Pr 0.6472 0.8659 0.5131
Pr 0.8659 0.3528 0.2187
Dy 0.0000 0.0000 0.0000
Ga 0.3342 0.4306 0.7649
Ga 0.4306 0.6658 0.0964
Ga 0.5694 0.3342 0.9036
Ga 0.6658 0.5694 0.2351

Symmetry ... I4/m
Formation energy ... -391.1 meV/atom
E_tot ... -4.37 eV per atom

---

Record 16
DFT (PBE) results for a geometry-optimized PrDy2Ga2 structure.

a = 8.3700 Å, b = 8.3700 Å, c = 3.7091 Å
α = 90.00°, β = 90.00°, γ = 90.00°
Atoms (fractional coordinates):
Pr 0.0000 0.0000 0.0000
Pr 0.5000 0.5000 0.0000
Dy 0.1743 0.3257 0.5000
Dy 0.3257 0.8257 0.5000
Dy 0.6743 0.1743 0.5000
Dy 0.8257 0.6743 0.5000
Ga 0.1202 0.6202 0.0000
Ga 0.3798 0.1202 0.0000
Ga 0.6202 0.8798 0.0000
Ga 0.8798 0.3798 0.0000

Energy above the most stable polymorph in this dataset ... 0.000 eV/atom
Symmetry ... P4/mbm
Formation energy ... -448.0 meV/atom
E_tot ... -4.46 eV per atom

---

Record 17
DFT (PBE) results for a geometry-optimized Pr3Dy2Ga4 structure.

a = 6.6145 Å, b = 6.6145 Å, c = 9.3761 Å
α = 108.91°, β = 108.91°, γ = 39.66°
Atoms (fractional coordinates):
Pr 0.0000 0.0000 0.0000
Pr 0.3880 0.3880 0.2999
Pr 0.6120 0.6120 0.7001
Dy 0.3130 0.3130 0.6570
Dy 0.6870 0.6870 0.3430
Ga 0.0703 0.0703 0.4171
Ga 0.2713 0.2713 0.9423
Ga 0.7287 0.7287 0.0577
Ga 0.9297 0.9297 0.5829

Symmetry ... C2/m
Formation energy ... -437.4 meV/atom
E_tot ... -4.40 eV per atom

---

Record 18
DFT (PBE) results for a geometry-optimized PrDyGa4 structure.

a = 7.9922 Å, b = 7.9922 Å, c = 7.9922 Å
α = 149.28°, β = 149.28°, γ = 44.01°
Atoms (fractional coordinates):
Pr 0.0000 0.0000 0.0000
Dy 0.7500 0.2500 0.5000
Ga 0.1681 0.6681 0.5000
Ga 0.3319 0.8319 0.5000
Ga 0.4158 0.4158 0.0000
Ga 0.5842 0.5842 0.0000

Energy above the most stable polymorph in this dataset ... 0.015 eV/atom
Symmetry ... I-4m2
Formation energy ... -653.2 meV/atom
E_tot ... -4.23 eV per atom

---

Record 19
DFT (PBE) results for a geometry-optimized Pr2DyGa structure.

a = 5.4682 Å, b = 5.4682 Å, c = 5.4682 Å
α = 60.00°, β = 60.00°, γ = 60.00°
Atoms (fractional coordinates):
Pr 0.2500 0.2500 0.2500
Pr 0.7500 0.7500 0.7500
Dy 0.0000 0.0000 0.0000
Ga 0.5000 0.5000 0.5000

Energy above the most stable polymorph in this dataset ... 0.157 eV/atom
Symmetry ... Fm-3m
Formation energy ... -95.3 meV/atom
E_tot ... -4.39 eV per atom

---

Record 20
DFT (PBE) results for a geometry-optimized PrDyGa2 structure.

a = 3.6508 Å, b = 3.6508 Å, c = 7.2773 Å
α = 90.00°, β = 90.00°, γ = 90.00°
Atoms (fractional coordinates):
Pr 0.0000 0.0000 0.0000
Dy 0.0000 0.0000 0.5000
Ga 0.5000 0.5000 0.2674
Ga 0.5000 0.5000 0.7326

Symmetry ... P4/mmm
Formation energy ... -572.9 meV/atom
E_tot ... -4.43 eV per atom

---

Record 21
DFT (PBE) results for a geometry-optimized Pr2DyGa structure.

a = 10.7212 Å, b = 10.7212 Å, c = 10.7212 Å
α = 20.07°, β = 20.07°, γ = 20.07°
Atoms (fractional coordinates):
Pr 0.0000 0.0000 0.0000
Pr 0.1896 0.1896 0.1896
Dy 0.7612 0.7612 0.7612
Ga 0.5951 0.5951 0.5951

Energy above the most stable polymorph in this dataset ... 0.121 eV/atom
Symmetry ... R3m
Formation energy ... -131.5 meV/atom
E_tot ... -4.43 eV per atom

---

Record 22
DFT (PBE) results for a geometry-optimized PrDyGa2 structure.

a = 4.4326 Å, b = 4.1300 Å, c = 6.0135 Å
α = 90.00°, β = 111.59°, γ = 90.00°
Atoms (fractional coordinates):
Pr 0.0000 0.0000 0.0000
Dy 0.7224 0.5000 0.4421
Ga 0.2831 0.0000 0.5632
Ga 0.4279 0.5000 0.8564

Symmetry ... Pm
Formation energy ... -595.7 meV/atom
E_tot ... -4.45 eV per atom

---

Record 23
DFT (PBE) results for a geometry-optimized Pr2Dy2Ga3 structure.

a = 7.4974 Å, b = 7.4974 Å, c = 7.7139 Å
α = 113.48°, β = 113.48°, γ = 28.20°
Atoms (fractional coordinates):
Pr 0.1823 0.1823 0.2688
Pr 0.8177 0.8177 0.7312
Dy 0.0995 0.0995 0.7833
Dy 0.9005 0.9005 0.2167
Ga 0.4181 0.4181 0.5388
Ga 0.5000 0.5000 0.0000
Ga 0.5819 0.5819 0.4612

Symmetry ... C2/m
Formation energy ... -422.6 meV/atom
E_tot ... -4.40 eV per atom